1.
BeSi3: relaxed, PBE.

Geometry as extended XYZ:
```
4
Lattice="2.569 0.000 0.000 0.000 3.442 0.000 0.000 0.000 5.857" Properties=species:S:1:pos:R:3 pbc="T T T"
Be 0.000 0.000 0.000
Si 0.000 0.000 2.928
Si 1.284 1.721 1.292
Si 1.284 1.721 4.564
```

Properties
Distance to the lowest polymorph of the same formula in meV per atom: 116.3
Mass density in Mg/m³: 2.99
Density of states at the Fermi level in states/eV per cell: 1.45
Total magnetic moment in Bohr magnetons per cell: 0.00
Volume in Å³/f.u.: 51.8
Raw total energy in eV/atom: -4.55



2.
Ba2Ga3SnPd4: relaxed, PBE.

Geometry as extended XYZ:
```
10
Lattice="4.636 0.000 0.000 0.000 4.636 0.000 0.000 0.000 10.532" Properties=species:S:1:pos:R:3 pbc="T T T"
Ba 0.000 2.318 2.529
Ba 2.318 0.000 8.003
Ga 0.000 2.318 9.338
Ga 2.318 0.000 1.195
Ga 2.318 2.318 5.266
Sn 0.000 0.000 5.266
Pd 0.000 0.000 0.000
Pd 0.000 2.318 6.689
Pd 2.318 0.000 3.843
Pd 2.318 2.318 0.000
```

Properties
Mass density in Mg/m³: 7.54
Density of states at the Fermi level in states/eV per cell: 4.44
Total magnetic moment in Bohr magnetons per cell: 0.00
Volume in Å³/f.u.: 226.4
Raw total energy in eV/atom: -4.45



3.
SrCaGePb2: relaxed, PBE.

Geometry as extended XYZ:
```
5
Lattice="5.757 0.000 0.000 0.000 5.757 0.000 0.000 0.000 6.189" Properties=species:S:1:pos:R:3 pbc="T T T"
Sr 0.000 0.000 0.000
Ca 0.000 0.000 3.094
Ge 2.879 2.879 0.000
Pb 0.000 2.879 3.094
Pb 2.879 0.000 3.094
```

Properties
Mass density in Mg/m³: 4.98
Density of states at the Fermi level in states/eV per cell: 8.20
Total magnetic moment in Bohr magnetons per cell: 0.00
Volume in Å³/f.u.: 205.1
Raw total energy in eV/atom: -2.46



4.
SrIn2Fe: relaxed, PBE.

Geometry as extended XYZ:
```
8
Lattice="-2.702 2.702 8.876 2.702 -2.702 8.876 2.702 2.702 -8.876" Properties=species:S:1:pos:R:3 pbc="T T T"
Sr 0.000 0.000 0.000
Sr 0.000 2.702 4.438
In 1.351 -0.439 6.657
In 2.263 1.351 2.219
In 1.351 3.140 -2.219
In 0.439 1.351 11.095
Fe 2.702 0.000 4.438
Fe 0.000 0.000 8.876
```

Properties
Mass density in Mg/m³: 4.78
Density of states at the Fermi level in states/eV per cell: 9.68
Total magnetic moment in Bohr magnetons per cell: 4.86
Volume in Å³/f.u.: 129.6
Raw total energy in eV/atom: -3.60



5.
Ce4Hf6O19: relaxed, PBE.

Geometry as extended XYZ:
```
29
Lattice="-4.708 4.708 4.708 4.708 -4.708 4.708 4.708 4.708 -4.708" Properties=species:S:1:pos:R:3 pbc="T T T"
Ce 1.409 1.409 -1.409
Ce 1.409 -1.409 1.409
Ce -1.409 1.409 1.409
Ce 3.299 3.299 3.299
Hf 4.708 1.592 0.000
Hf 4.708 0.000 3.116
Hf 3.116 4.708 0.000
Hf 1.592 0.000 4.708
Hf 0.000 4.708 1.592
Hf 0.000 3.116 4.708
O 0.000 0.000 0.000
O 3.354 0.000 0.000
O 6.062 0.000 0.000
O 5.142 -1.740 2.038
O 2.967 2.669 -0.434
O 2.669 -0.434 2.967
O 6.448 2.669 0.434
O 0.000 3.354 0.000
O 0.000 0.000 3.354
O 2.038 5.142 -1.740
O 4.274 1.740 2.038
O -0.434 2.967 2.669
O 2.038 4.274 1.740
O 0.000 6.062 0.000
O 0.000 0.000 6.062
O 1.740 2.038 4.274
O 2.669 0.434 6.448
O -1.740 2.038 5.142
O 0.434 6.448 2.669
```

Properties
Mass density in Mg/m³: 7.70
Density of states at the Fermi level in states/eV per cell: 13.51
Total magnetic moment in Bohr magnetons per cell: 2.06
Volume in Å³/f.u.: 417.4
Raw total energy in eV/atom: -9.51



6.
Si8H: relaxed, PBE.

Geometry as extended XYZ:
```
9
Lattice="6.583 0.000 0.000 0.000 3.918 0.000 -2.322 0.000 6.381" Properties=species:S:1:pos:R:3 pbc="T T T"
Si 0.000 0.000 0.000
Si -1.074 1.959 3.023
Si -1.434 1.959 5.392
Si 0.054 0.000 2.335
Si 0.925 1.959 6.246
Si 2.262 0.000 3.134
Si 2.053 0.000 5.503
Si 3.274 1.959 2.247
H 3.617 1.959 4.822
```

Properties
Mass density in Mg/m³: 2.28
Density of states at the Fermi level in states/eV per cell: 2.71
Total magnetic moment in Bohr magnetons per cell: 0.00
Volume in Å³/f.u.: 164.6
Raw total energy in eV/atom: -5.01



- Which formula does entry 2 have?
  Ba2Ga3SnPd4



- What is the raw total energy in the fourth record?
  -3.60 eV/atom



- What is the formula in the first record?
  BeSi3



- Number 2 is which compound?
  Ba2Ga3SnPd4